No. 1
A plane-wave DFT calculation with PBE was carried out for a geometry-optimized Ba3Ru4 structure.

For the density, the calculation gives 6.652 g/cm³.

It has space group P6/mmm (No. 191), with a = 7.1960 Å, b = 7.1960 Å, c = 4.5438 Å, α = 90.00°, β = 90.00° and γ = 120.00°. The distinct sites, in fractional coordinates, are Ba at (0.0000, 0.5000, 0.0000), Ru at (0.0000, 0.0000, 0.2470) and Ru at (0.3333, 0.6667, 0.5000).

No. 2
A plane-wave DFT calculation with PBE was carried out for a geometry-optimized FeCuPd structure.

The calculation puts the excess energy over the best structure of this formula in the dataset at 0.19 eV per formula unit. For the density, the calculation gives 9.331 g/cm³.

It has space group P3m1 (No. 156), with a = 4.2039 Å, b = 4.2039 Å, c = 2.6257 Å, α = 90.00°, β = 90.00° and γ = 120.00°. The distinct sites, in fractional coordinates, are Fe at (0.0000, 0.0000, 0.0000), Cu at (0.6667, 0.3333, 0.7427) and Pd at (0.3333, 0.6667, 0.3593).

Formation energy in eV/atom, matching the order above: 1.38 0.05